[1]
Li2FeAu: optimized geometry, GGA-PBE.

Its crystal system is tetragonal. Its formation energy is 0.0261 eV/atom.

Structure (POSCAR):
```
Li2FeAu
1.0
3.201 0.000 0.000
0.000 3.201 0.000
0.000 0.000 5.547
Fe Li Au
1 2 1
direct
0.500 0.500 0.750
0.000 0.000 0.007
0.000 0.000 0.493
0.500 0.500 0.250
```

[2]
PaBe2CdO6: optimized geometry, GGA-PBE.

Its crystal system is monoclinic. The raw formation energy comes out at -2.390 eV/atom.

Structure (POSCAR):
```
PaBe2CdO6
1.0
5.193 -0.281 -0.291
1.320 6.572 0.040
1.320 -0.203 6.569
Be O Cd Pa
4 12 2 2
direct
0.707 0.621 0.786
0.293 0.379 0.214
0.207 0.786 0.621
0.793 0.214 0.379
0.845 0.013 0.238
0.125 0.595 0.161
0.655 0.762 0.987
0.577 0.399 0.298
0.155 0.987 0.762
0.375 0.839 0.405
0.875 0.405 0.839
0.625 0.161 0.595
0.345 0.238 0.013
0.077 0.298 0.399
0.423 0.601 0.702
0.923 0.702 0.601
0.250 0.910 0.090
0.750 0.090 0.910
0.250 0.311 0.689
0.750 0.689 0.311
```

[3]
KNaP2O: optimized geometry, GGA-PBE.

Its crystal system is tetragonal. The offset from the most stable computed form comes out at 356.5 meV/atom. The raw formation energy comes out at 1.082 eV/atom.

Structure (POSCAR):
```
KNaP2O
1.0
6.136 0.000 0.000
0.000 6.136 0.000
0.000 0.000 4.704
O K Na P
1 1 1 2
direct
0.000 0.000 0.500
0.000 0.000 0.000
0.500 0.500 0.500
0.500 0.000 0.000
0.000 0.500 0.000
```

Taking the records one at a time from the top gives total DFT energy (no corrections) values of -0.1421, -0.2628, -0.0940 hartree per atom.
Taking the records one at a time from the top gives N(E_F) values of 1.89, 12.05, 2.19 states/eV/cell.
Taking the records one at a time from the top gives size of the total moment values of 2.66, 0.86, 4.69 μB per formula unit.